Here is FeIN3 at its PBEsol-relaxed geometry from Alexandria via LeMat-Bulk. Energies are from SCAN.

a b c (Å): 3.740 3.740 3.740
angles (deg): 90.00 90.00 90.00
Atoms (fractional coordinates):
I: 0.500 0.500 0.500
Fe: 0.000 0.000 0.000
N: 0.000 0.000 0.500
N: 0.000 0.500 0.000
N: 0.500 0.000 0.000

Computed properties:
E_form (uncorrected): 1.568 eV/atom
E: -14.981 eV per atom
space group: Pm-3m